Record 1
Material: SmHf2Se
Method: DFT, PBE
State: optimized geometry

Computed properties:
**Total moment**: 0.0 μB per formula unit
**ΔE_f (raw)**: -0.3 eV per formula unit

Cell: 3.3175 3.3175 10.3729 Å, 80.80 80.80 60.00°
With the nearest neighbours (Å) after each atom.
Element x y z (fractional)
Sm  0.0000  0.0000  0.0000  2 Hf 3.14, 6 Sm 3.32
Hf  0.8972  0.8972  0.3083  3 Se 2.74
Hf  0.1028  0.1028  0.6917  3 Se 2.74
Se  0.5000  0.5000  0.5000  6 Hf 2.74

Record 2
Material: Na2LiMnS4
Method: DFT, PBE
State: optimized geometry

Computed properties:
**Total moment**: 2.0 μB per formula unit
**ΔE_f (raw)**: -6.4 eV per formula unit

Cell: 6.3494 5.9580 5.9580 Å, 73.51 57.80 57.80°
With the nearest neighbours (Å) after each atom.
Element x y z (fractional)
Li  0.0000  0.0000  0.0000  4 S 2.54
S  0.1299  0.3354  0.0000  1 Mn 2.12
S  0.5346  0.0000  0.3354  1 Mn 2.12
S  0.4654  0.6646  0.0000  1 Mn 2.12
S  0.8701  0.0000  0.6646  1 Mn 2.12
Na  0.5000  0.5000  0.5000  8 S 2.95-3.26, 2 Na 3.17
Na  0.0000  0.5000  0.5000  8 S 2.95-3.26, 2 Na 3.17
Mn  0.5000  0.0000  0.0000  4 S 2.12

Record 3
Material: Mg2IrCl
Method: DFT, PBE
State: optimized geometry

Computed properties:
**Total moment**: 0.0 μB per formula unit
**ΔE_f (raw)**: -2.7 eV per formula unit

Cell: 3.1549 3.1549 7.1730 Å, 90.00 90.00 90.02°
With the nearest neighbours (Å) after each atom.
Element x y z (fractional)
Mg  0.0000  0.0000  0.9634  4 Ir 2.71
Mg  0.0000  0.0000  0.5366  4 Ir 2.71
Cl  0.5000  0.5000  0.2500  8 Mg 3.03, 4 Cl 3.15
Ir  0.5000  0.5000  0.7500  8 Mg 2.71

Record 4
Material: BaCePb2O8
Method: DFT, PBE
State: optimized geometry

Computed properties:
**Total moment**: 2.0 μB per formula unit
**ΔE_f (raw)**: -18.0 eV per formula unit

Cell: 5.6837 5.6837 7.1460 Å, 113.43 113.43 90.00°
With the nearest neighbours (Å) after each atom.
Element x y z (fractional)
O  0.0967  0.0185  0.7078  1 Pb 2.13
O  0.1709  0.6354  0.8316  1 Pb 2.12
O  0.6111  0.6893  0.7078  1 Pb 2.13
O  0.8038  0.8291  0.1684  1 Pb 2.12
O  0.3646  0.3393  0.1684  1 Pb 2.12
O  0.9815  0.3889  0.2922  1 Pb 2.13
O  0.6607  0.1962  0.8316  1 Pb 2.12
O  0.3107  0.9033  0.2922  1 Pb 2.13
Pb  0.2500  0.7500  0.5000  4 O 2.13
Pb  0.5000  0.5000  0.0000  4 O 2.12
Ce  0.0000  0.0000  0.0000  8 O 2.37-2.40
Ba  0.7500  0.2500  0.5000  8 O 2.65-2.74

Record 5
Material: Ca3MoS
Method: DFT, PBE
State: optimized geometry

Computed properties:
**Total moment**: 0.0 μB per formula unit
**ΔE_f (raw)**: 3.0 eV per formula unit

Cell: 5.2967 5.2967 5.2967 Å, 90.00 90.00 90.00°
With the nearest neighbours (Å) after each atom.
Element x y z (fractional)
Ca  0.0000  0.5000  0.0000  2 Mo 2.65
Ca  0.5000  0.0000  0.0000  2 Mo 2.65
Ca  0.0000  0.0000  0.5000  2 Mo 2.65
Mo  0.0000  0.0000  0.0000  6 Ca 2.65
S  0.5000  0.5000  0.5000  12 Ca 3.75

Record 6
Material: Cs3Tl4Sn
Method: DFT, PBE
State: optimized geometry

Computed properties:
**Total moment**: 0.0 μB per formula unit
**Energy of formation from the pure elements**: -0.088 eV per atom

Cell: 8.3513 7.3226 8.7106 Å, 114.86 118.64 90.00°
With the nearest neighbours (Å) after each atom.
Element x y z (fractional)
Cs  0.2001  0.7220  0.4440  1 Sn 3.87, 5 Tl 3.96-4.29
Cs  0.7560  0.2780  0.5560  1 Sn 3.87, 5 Tl 3.96-4.29
Cs  0.1073  0.0000  0.0000  2 Sn 3.92, 2 Tl 4.21
Tl  0.6723  0.6567  0.3135  1 Sn 2.91, 2 Tl 3.12
Tl  0.6412  0.2204  0.0000  3 Tl 3.12-3.23
Tl  0.3588  0.3433  0.6865  1 Sn 2.91, 2 Tl 3.12
Tl  0.6412  0.7796  0.0000  3 Tl 3.12-3.23
Sn  0.2740  0.5000  0.0000  2 Tl 2.91

Record 7
Material: Hf2TcMo
Method: DFT, PBE
State: optimized geometry

Computed properties:
**Total moment**: 0.0 μB per formula unit
**Energy of formation from the pure elements**: 0.483 eV per atom

Cell: 7.3071 7.3071 5.9031 Å, 51.76 51.76 90.00°
With the nearest neighbours (Å) after each atom.
Element x y z (fractional)
Mo  0.2500  0.7500  0.5000  4 Hf 2.75, 2 Tc 2.85
Mo  0.5000  0.5000  0.0000  4 Hf 2.75, 2 Tc 2.85
Hf  0.1114  0.6250  0.2500  2 Tc 2.61, 2 Mo 2.75, 2 Hf 2.86
Hf  0.6386  0.1250  0.2500  2 Tc 2.61, 2 Mo 2.75, 2 Hf 2.86
Hf  0.8750  0.8886  0.7500  2 Tc 2.61, 2 Mo 2.75, 2 Hf 2.86
Hf  0.3750  0.3614  0.7500  2 Tc 2.61, 2 Mo 2.75, 2 Hf 2.86
Tc  0.7500  0.2500  0.5000  4 Hf 2.61, 2 Mo 2.85
Tc  0.0000  0.0000  0.0000  4 Hf 2.61, 2 Mo 2.85

Record 8
Material: In2Co2Hg
Method: DFT, PBE
State: optimized geometry

Computed properties:
**Total moment**: 1.8 μB per formula unit
**Energy of formation from the pure elements**: 0.183 eV per atom

Cell: 7.0563 7.0563 3.4806 Å, 90.00 90.00 90.00°
With the nearest neighbours (Å) after each atom.
Element x y z (fractional)
Co  0.3650  0.8650  0.0000  6 In 2.69-2.72, 1 Co 2.69, 2 Hg 2.75
Co  0.8650  0.6350  0.0000  6 In 2.69-2.72, 1 Co 2.69, 2 Hg 2.75
Co  0.6350  0.1350  0.0000  6 In 2.69-2.72, 1 Co 2.69, 2 Hg 2.75
Co  0.1350  0.3650  0.0000  6 In 2.69-2.72, 1 Co 2.69, 2 Hg 2.75
Hg  0.0000  0.0000  0.0000  4 Co 2.75
Hg  0.5000  0.5000  0.0000  4 Co 2.75
In  0.8402  0.3402  0.5000  6 Co 2.69-2.72
In  0.6598  0.8402  0.5000  6 Co 2.69-2.72
In  0.3402  0.1598  0.5000  6 Co 2.69-2.72
In  0.1598  0.6598  0.5000  6 Co 2.69-2.72

Record 9
Material: Sm6As2S3
Method: DFT, PBE
State: optimized geometry

Computed properties:
**Total moment**: 0.0 μB per formula unit
**ΔE_f (raw)**: -17.4 eV per formula unit

Cell: 6.9043 6.8986 6.8986 Å, 120.00 90.00 90.00°
With the nearest neighbours (Å) after each atom.
Element x y z (fractional)
Sm  0.7517  0.6690  0.9999  3 S 2.87-2.88, 2 As 2.89
Sm  0.7517  0.3309  0.3310  3 S 2.87-2.88, 2 As 2.89
Sm  0.2483  0.9999  0.3309  3 S 2.87-2.88, 2 As 2.89
Sm  0.2483  0.3310  0.0001  3 S 2.87-2.88, 2 As 2.89
Sm  0.7517  0.0001  0.6691  3 S 2.87-2.88, 2 As 2.89
Sm  0.2483  0.6691  0.6690  3 S 2.87-2.88, 2 As 2.89
S  0.5000  0.0000  0.0000  6 Sm 2.87
S  0.0001  0.3333  0.6667  6 Sm 2.87-2.88
S  0.9999  0.6667  0.3333  6 Sm 2.87-2.88
As  0.5001  0.6667  0.3333  6 Sm 2.89
As  0.4999  0.3333  0.6667  6 Sm 2.89

Record 10
Material: ErFeSi
Method: DFT, PBE
State: optimized geometry

Computed properties:
**Total moment**: 1.2 μB per formula unit
**ΔE_f (raw)**: -1.4 eV per formula unit

Cell: 3.7658 4.0334 4.0334 Å, 120.00 90.00 90.00°
With the nearest neighbours (Å) after each atom.
Element x y z (fractional)
Si  0.1667  0.0000  0.0000  3 Fe 2.33
Er  0.6667  0.6667  0.3333  6 Fe 2.99, 6 Si 2.99
Fe  0.1667  0.3333  0.6667  3 Si 2.33

Record 11
Material: Cs2MgInPb2
Method: DFT, PBE
State: optimized geometry

Computed properties:
**Total moment**: 0.0 μB per formula unit
**Energy of formation from the pure elements**: -0.166 eV per atom

Cell: 7.0226 7.0553 10.9875 Å, 108.73 108.64 90.00°
With the nearest neighbours (Å) after each atom.
Element x y z (fractional)
In  0.0000  0.7500  0.0000  4 Pb 3.13
In  0.0000  0.2500  0.0000  4 Pb 3.13
Pb  0.3504  0.5955  0.1910  2 Mg 3.09, 2 In 3.13
Pb  0.6496  0.4045  0.8090  2 Mg 3.09, 2 In 3.13
Pb  0.1594  0.9045  0.8090  2 Mg 3.09, 2 In 3.13
Pb  0.8406  0.0955  0.1910  2 Mg 3.09, 2 In 3.13
Cs  0.5831  0.8275  0.6549  4 Pb 3.82-3.84, 2 In 4.18, 2 Mg 4.21
Cs  0.9282  0.6725  0.3451  4 Pb 3.82-3.84, 2 In 4.18, 2 Mg 4.21
Cs  0.0718  0.3275  0.6549  4 Pb 3.82-3.84, 2 In 4.18, 2 Mg 4.21
Cs  0.4169  0.1725  0.3451  4 Pb 3.82-3.84, 2 In 4.18, 2 Mg 4.21
Mg  0.5000  0.7500  0.0000  4 Pb 3.09
Mg  0.5000  0.2500  0.0000  4 Pb 3.09

Record 12
Material: Na2TlS2
Method: DFT, PBE
State: optimized geometry

Computed properties:
**Total moment**: 0.0 μB per formula unit
**ΔE_f (raw)**: -3.4 eV per formula unit

Cell: 4.0602 7.4426 8.3790 Å, 90.00 104.02 90.00°
With the nearest neighbours (Å) after each atom.
Element x y z (fractional)
S  0.8069  0.8948  0.6138  2 Tl 2.75, 4 Na 2.85-3.06
S  0.1931  0.3948  0.3862  2 Tl 2.75, 4 Na 2.85-3.06
S  0.5458  0.9423  0.0917  2 Tl 2.79-2.94, 6 Na 2.85-3.03
S  0.4542  0.4423  0.9083  2 Tl 2.79-2.94, 6 Na 2.85-3.03
Na  0.8168  0.4844  0.6336  5 S 2.93-3.06, 1 Na 3.08
Na  0.1832  0.9844  0.3664  5 S 2.93-3.06, 1 Na 3.08
Na  0.0332  0.2368  0.0664  5 S 2.85-2.99, 1 Na 3.08
Na  0.9668  0.7368  0.9336  5 S 2.85-2.99, 1 Na 3.08
Tl  0.3857  0.0760  0.7714  4 S 2.75-2.94
Tl  0.6143  0.5760  0.2286  4 S 2.75-2.94

Record 13
Material: CsGa2Te4Au
Method: DFT, PBE
State: optimized geometry

Computed properties:
**Total moment**: 0.0 μB per formula unit
**ΔE_f (raw)**: -1.9 eV per formula unit

Cell: 5.1281 8.2684 8.2684 Å, 85.53 71.93 71.93°
With the nearest neighbours (Å) after each atom.
Element x y z (fractional)
Ga  0.5000  0.6221  0.3779  2 Te 2.52, 1 Ga 2.74
Ga  0.5000  0.3779  0.6221  2 Te 2.52, 1 Ga 2.74
Cs  0.0000  0.0000  0.0000  8 Te 4.25-4.38
Te  0.0223  0.8452  0.4996  1 Ga 2.52
Te  0.9777  0.5004  0.1548  1 Ga 2.52
Te  0.3671  0.1548  0.5004  1 Ga 2.52
Te  0.6329  0.4996  0.8452  1 Ga 2.52
Au  0.0000  0.5000  0.5000  4 Te 2.89, 4 Ga 2.91